# 1
{
  "formula": "Mn2InPt",
  "functional": "PBE",
  "state": "optimized geometry",
  "lattice_angstrom": [[-1.223, 4.784, 0.487], [-4.011, 0.527, 2.872], [4.266, -2.465, 0.588]],
  "species": ["Pt", "In", "Mn", "Mn"],
  "fractional_positions": [[0.500, 0.500, 0.000], [0.750, 0.250, 0.500], [0.250, 0.750, 0.500], [0.000, 0.000, 0.000]],
  "ef_ev_per_atom": -0.087,
  "volume_a3_per_atom": 16.145,
  "total_magnetization_mub_per_fu": 7.4
}

# 2
{
  "formula": "ZrTa2CuMo",
  "functional": "PBE",
  "state": "optimized geometry",
  "lattice_angstrom": [[4.900, 0.000, 0.000], [0.000, 4.733, 0.000], [0.000, 0.000, 4.900]],
  "species": ["Ta", "Mo", "Zr", "Ta", "Cu"],
  "fractional_positions": [[0.500, 0.000, 0.000], [0.000, 0.500, 0.000], [0.000, 0.000, 0.000], [0.000, 0.000, 0.500], [0.500, 0.500, 0.500]],
  "ef_ev_per_atom": 2.151,
  "volume_a3_per_atom": 22.724,
  "total_magnetization_mub_per_fu": 0.0
}

# 3
{
  "formula": "RbPrPaSe4",
  "functional": "PBE",
  "state": "optimized geometry",
  "lattice_angstrom": [[8.874, 0.000, 0.000], [-4.437, 7.806, -0.624], [0.000, -4.769, 7.842]],
  "species": ["Se", "Se", "Se", "Se", "Pa", "Se", "Pr", "Se", "Pa", "Se", "Pr", "Se", "Rb", "Rb"],
  "fractional_positions": [[0.308, 0.052, 0.276], [0.737, 0.473, 0.284], [0.263, 0.527, 0.716], [0.256, 0.948, 0.724], [0.500, 0.500, 0.500], [0.263, 0.527, 0.311], [0.500, 0.000, 0.500], [0.737, 0.473, 0.689], [0.000, 0.500, 0.500], [0.692, 0.948, 0.724], [0.500, 0.000, 0.000], [0.744, 0.052, 0.276], [0.870, 0.740, 0.120], [0.130, 0.260, 0.880]],
  "volume_a3_per_atom": 36.915,
  "final_energy_ev_per_cell": -79.41,
  "total_magnetization_mub_per_fu": 1.0
}

# 4
{
  "formula": "LaHf3Re",
  "functional": "PBE",
  "state": "optimized geometry",
  "lattice_angstrom": [[5.128, 0.000, 0.000], [0.000, 5.128, 0.000], [0.000, 0.000, 5.128]],
  "species": ["Hf", "Re", "Hf", "La", "Hf"],
  "fractional_positions": [[0.000, 0.500, 0.000], [0.000, 0.000, 0.000], [0.500, 0.000, 0.000], [0.500, 0.500, 0.500], [0.000, 0.000, 0.500]],
  "ef_ev_per_atom": 0.311,
  "relative_energy_mev_per_atom": 0,
  "volume_a3_per_atom": 26.962,
  "total_magnetization_mub_per_fu": 0.0
}

# 5
{
  "formula": "Tm5Hf3In12",
  "functional": "PBE",
  "state": "optimized geometry",
  "lattice_angstrom": [[15.044, 0.000, 0.000], [-5.015, 14.183, 0.000], [-5.015, -7.092, 12.283]],
  "species": ["Tm", "Tm", "In", "In", "In", "In", "In", "In", "Hf", "Hf", "Tm", "In", "Tm", "Tm", "Hf", "In", "In", "Tm", "In", "Hf", "Tm", "In", "In", "In", "In", "In", "In", "In", "Tm", "In", "Hf", "Hf", "Tm", "Tm", "In", "In", "In", "In", "In", "In", "Tm", "In", "In", "Hf", "In", "In", "Tm", "In", "In", "In", "Hf", "In", "In", "Tm", "In", "Tm", "In", "In", "In", "In", "In", "In", "In", "Tm", "In", "In", "Hf", "In", "In", "Hf", "Tm", "Hf", "Tm", "In", "In", "Tm", "In", "Tm", "Tm", "Hf"],
  "fractional_positions": [[0.750, 0.625, 0.375], [0.000, 0.500, 0.500], [0.267, 0.418, 0.845], [0.078, 0.426, 0.845], [0.422, 0.655, 0.074], [0.849, 0.267, 0.422], [0.578, 0.345, 0.926], [0.651, 0.574, 0.918], [0.125, 0.875, 0.750], [0.375, 0.625, 0.250], [0.000, 0.000, 0.500], [0.418, 0.267, 0.345], [0.375, 0.125, 0.750], [0.875, 0.250, 0.625], [0.750, 0.375, 0.125], [0.655, 0.422, 0.574], [0.922, 0.349, 0.267], [0.250, 0.375, 0.625], [0.918, 0.845, 0.767], [0.625, 0.250, 0.375], [0.000, 0.000, 0.000], [0.922, 0.574, 0.155], [0.845, 0.926, 0.078], [0.233, 0.578, 0.651], [0.082, 0.155, 0.233], [0.151, 0.418, 0.074], [0.918, 0.074, 0.651], [0.733, 0.151, 0.078], [0.625, 0.875, 0.250], [0.345, 0.767, 0.418], [0.375, 0.750, 0.625], [0.250, 0.125, 0.375], [0.500, 0.000, 0.000], [0.500, 0.500, 0.500], [0.345, 0.578, 0.426], [0.578, 0.233, 0.151], [0.651, 0.078, 0.233], [0.926, 0.845, 0.578], [0.349, 0.922, 0.767], [0.349, 0.426, 0.082], [0.000, 0.500, 0.000], [0.422, 0.767, 0.849], [0.845, 0.918, 0.267], [0.875, 0.750, 0.125], [0.418, 0.151, 0.574], [0.582, 0.733, 0.655], [0.750, 0.125, 0.875], [0.767, 0.422, 0.349], [0.426, 0.078, 0.345], [0.574, 0.922, 0.655], [0.875, 0.125, 0.250], [0.426, 0.349, 0.582], [0.582, 0.849, 0.426], [0.875, 0.625, 0.750], [0.767, 0.345, 0.918], [0.500, 0.500, 0.000], [0.849, 0.582, 0.926], [0.155, 0.074, 0.922], [0.655, 0.233, 0.582], [0.267, 0.849, 0.922], [0.078, 0.651, 0.733], [0.082, 0.926, 0.349], [0.074, 0.155, 0.422], [0.125, 0.750, 0.375], [0.926, 0.082, 0.849], [0.155, 0.082, 0.733], [0.625, 0.375, 0.750], [0.233, 0.655, 0.082], [0.733, 0.582, 0.155], [0.250, 0.625, 0.875], [0.625, 0.750, 0.875], [0.125, 0.250, 0.875], [0.250, 0.875, 0.125], [0.574, 0.651, 0.418], [0.151, 0.733, 0.578], [0.375, 0.250, 0.125], [0.074, 0.918, 0.151], [0.500, 0.000, 0.500], [0.125, 0.375, 0.250], [0.750, 0.875, 0.625]],
  "ef_ev_per_atom": 0.376,
  "volume_a3_per_atom": 32.761,
  "total_magnetization_mub_per_fu": 0.0
}

# 6
{
  "formula": "TlCd3Pd12",
  "functional": "PBE",
  "state": "optimized geometry",
  "lattice_angstrom": [[-0.597, -2.710, -2.948], [3.913, -1.027, 0.151], [-3.380, -11.260, 11.035]],
  "species": ["Pd", "Pd", "Pd", "Pd", "Pd", "Pd", "Pd", "Tl", "Pd", "Pd", "Pd", "Cd", "Pd", "Pd", "Cd", "Cd"],
  "fractional_positions": [[0.000, 0.500, 0.376], [0.500, 0.500, 0.747], [0.000, 0.500, 0.624], [0.500, 0.000, 0.128], [0.500, 0.500, 0.500], [0.000, 0.500, 0.872], [0.500, 0.000, 0.376], [0.000, 0.000, 0.000], [0.500, 0.500, 0.253], [0.500, 0.500, 0.000], [0.000, 0.500, 0.128], [0.000, 0.000, 0.500], [0.500, 0.000, 0.872], [0.500, 0.000, 0.624], [0.000, 0.000, 0.748], [0.000, 0.000, 0.252]],
  "ef_ev_per_atom": -0.219,
  "volume_a3_per_atom": 16.518,
  "total_magnetization_mub_per_fu": 0.0
}

# 7
{
  "formula": "BaNi3GeAs",
  "functional": "PBE",
  "state": "optimized geometry",
  "lattice_angstrom": [[5.972, 0.000, 0.000], [0.000, 6.270, 0.000], [0.000, -3.135, 6.312]],
  "species": ["Ni", "Ge", "Ni", "Ge", "Ni", "Ba", "Ba", "As", "Ni", "Ni", "Ni", "As"],
  "fractional_positions": [[0.500, 0.716, 0.000], [0.750, 0.952, 0.904], [0.500, 0.284, 0.000], [0.250, 0.048, 0.096], [0.000, 0.716, 0.000], [0.750, 0.245, 0.489], [0.250, 0.755, 0.511], [0.750, 0.593, 0.186], [0.750, 0.771, 0.543], [0.000, 0.284, 0.000], [0.250, 0.229, 0.457], [0.250, 0.407, 0.814]],
  "ef_ev_per_atom": -0.316,
  "volume_a3_per_atom": 19.696,
  "total_magnetization_mub_per_fu": 0.0
}

# 8
{
  "formula": "Ca2HgPd6",
  "functional": "PBE",
  "state": "optimized geometry",
  "lattice_angstrom": [[-0.771, -1.610, -4.172], [8.522, 0.099, -1.613], [-3.535, -3.447, 4.434]],
  "species": ["Pd", "Ca", "Pd", "Ca", "Pd", "Hg", "Pd", "Pd", "Pd"],
  "fractional_positions": [[0.840, 0.557, 0.679], [0.328, 0.326, 0.653], [0.500, 0.199, 0.000], [0.672, 0.674, 0.347], [0.160, 0.443, 0.321], [0.000, 0.000, 0.000], [0.840, 0.122, 0.679], [0.160, 0.878, 0.321], [0.500, 0.801, 0.000]],
  "ef_ev_per_atom": -0.325,
  "relative_energy_mev_per_atom": 34,
  "volume_a3_per_atom": 19.633,
  "total_magnetization_mub_per_fu": 0.0
}